(1)
A relaxed MnCo2SnC crystal, computed with PBE-GGA.

Structure (POSCAR):
```
MnCo2SnC
1.0
3.859 0.000 0.000
0.000 3.859 0.000
0.000 0.000 3.866
Mn Co Sn C
1 2 1 1
Cartesian
0.000 0.000 0.000
0.000 1.930 1.933
1.930 0.000 1.933
1.930 1.930 0.000
0.000 0.000 1.933
```

E_tot: -36.6 eV for the cell shown
Space group: No. 123
ΔE_f: 0.00 eV/atom
Calculated volume: 57.58 Å³/cell

(2)
A relaxed TaMn2CoC crystal, computed with PBE-GGA.

Structure (POSCAR):
```
TaMn2CoC
1.0
3.850 0.000 0.000
0.000 3.850 0.000
0.000 0.000 3.722
Ta Mn Co C
1 2 1 1
Cartesian
0.000 0.000 0.000
0.000 1.925 1.861
1.925 0.000 1.861
1.925 1.925 0.000
1.925 1.925 1.861
```

E_tot: -47.3 eV for the cell shown
Space group: No. 123
ΔE_f: -0.15 eV/atom
Calculated volume: 55.18 Å³/cell

(3)
A relaxed TiMnCo2C crystal, computed with PBE-GGA.

Structure (POSCAR):
```
TiMnCo2C
1.0
3.736 0.000 0.000
0.000 3.736 0.000
0.000 0.000 3.828
Ti Mn Co C
1 1 2 1
Cartesian
0.000 0.000 0.000
1.868 1.868 0.000
0.000 1.868 1.914
1.868 0.000 1.914
1.868 1.868 1.914
```

E_tot: -41.7 eV for the cell shown
Space group: No. 123
ΔE_f: -0.23 eV/atom
Calculated volume: 53.43 Å³/cell

(4)
A relaxed Mn2VCoC crystal, computed with PBE-GGA.

Structure (POSCAR):
```
Mn2VCoC
1.0
3.793 0.000 0.000
0.000 3.793 0.000
0.000 0.000 3.680
Mn V Co C
2 1 1 1
Cartesian
0.000 1.896 0.000
1.896 0.000 0.000
0.000 0.000 1.840
1.896 1.896 1.840
1.896 1.896 0.000
```

E_tot: -44.2 eV for the cell shown
Space group: No. 123
ΔE_f: -0.08 eV/atom
Calculated volume: 52.94 Å³/cell

(5)
A relaxed Y2MnCoC crystal, computed with PBE-GGA.

Structure (POSCAR):
```
Y2MnCoC
1.0
5.014 0.000 0.000
0.000 5.014 0.000
0.000 0.000 3.622
Y Mn Co C
2 1 1 1
Cartesian
0.000 2.507 0.000
2.507 0.000 0.000
0.000 0.000 1.811
2.507 2.507 1.811
2.507 2.507 0.000
```

E_tot: -38.9 eV for the cell shown
Space group: No. 123
ΔE_f: -0.09 eV/atom
Calculated volume: 91.04 Å³/cell

(6)
A relaxed YMn2CoC crystal, computed with PBE-GGA.

Structure (POSCAR):
```
YMn2CoC
1.0
3.985 0.000 0.000
0.000 3.985 0.000
0.000 0.000 4.014
Y Mn Co C
1 2 1 1
Cartesian
0.000 0.000 0.000
0.000 1.992 2.007
1.992 0.000 2.007
1.992 1.992 0.000
1.992 1.992 2.007
```

E_tot: -41.1 eV for the cell shown
Space group: No. 123
ΔE_f: 0.01 eV/atom
Calculated volume: 63.74 Å³/cell